CsFeSe3: relaxed, PBE.

Mass density, g/cm3: 4.6
Total magnetic moment, μB per cell: 4.00
Uncorrected energy, eV/cell: -44.75
Symmetry: No. 2

Lattice parameters (Å, degrees): 6.1913 7.4874 7.7227 99.00 102.92 112.96
With the nearest neighbours (Å) after each atom.
Sites, in units of the cell vectors:
Cs  0.2253  0.8512  0.1722  8 Se 3.52-3.89
Se  0.8013  0.8657  0.4037  1 Fe 2.37, 1 Se 2.42
Fe  0.2676  0.4410  0.5160  5 Se 2.30-2.43
Se  0.8360  0.3152  0.3380  2 Fe 2.37-2.43
Cs  0.7747  0.1488  0.8278  8 Se 3.52-3.89
Se  0.1987  0.1343  0.5963  1 Fe 2.37, 1 Se 2.42
Se  0.3597  0.4150  0.2437  2 Fe 2.30-2.33
Se  0.1640  0.6848  0.6620  2 Fe 2.37-2.43
Se  0.6403  0.5850  0.7563  2 Fe 2.30-2.33
Fe  0.7324  0.5590  0.4840  5 Se 2.30-2.43